# CdHg2BiPb2 (PBE-GGA, optimized geometry)
data_CdHg2BiPb2
_cell_length_a 5.100
_cell_length_b 9.699
_cell_length_c 6.874
_cell_angle_alpha 90.00
_cell_angle_beta 90.00
_cell_angle_gamma 90.00
_space_group_name_H-M_alt 'P m c 21'
_space_group_IT_number 26
loop_
_space_group_symop_operation_xyz
'x,y,z'
'-x,-y,z+1/2'
'-x,y,z'
'x,-y,z+1/2'
loop_
_atom_site_label
_atom_site_fract_x
_atom_site_fract_y
_atom_site_fract_z
_atom_site_occupancy
Cd1 0.000 0.168 0.000 1
Hg1 0.000 0.151 0.492 1
Hg2 0.500 0.337 0.175 1
Bi1 0.500 0.009 0.254 1
Pb1 0.000 0.498 0.433 1
Pb2 0.500 0.327 0.678 1
# * formation energy: 0.0438 eV per atom
# * DOS(E_F): 4.97 states/eV/cell
# * magnetization: 0.00 μB/atom